1.
Density functional theory data (PBE) for a relaxed CsGeTe2AuS crystal.

Lattice parameters (Å, degrees): 8.563 8.563 11.423 90.00 90.00 153.48
Fractional coordinates of all 12 atoms:
1 Cs 0.230 0.770 0.750
2 Cs 0.770 0.230 0.250
3 Ge 0.500 0.500 0.000
4 Ge 0.500 0.500 0.500
5 Te 0.122 0.878 0.041
6 Te 0.122 0.878 0.459
7 Te 0.878 0.122 0.541
8 Te 0.878 0.122 0.959
9 Au 0.039 0.961 0.250
10 Au 0.961 0.039 0.750
11 S 0.451 0.549 0.250
12 S 0.549 0.451 0.750

Summary:
Raw total energy ... -3.394 eV per atom


2.
Density functional theory data (PBE) for a relaxed CsGeAuSe3 crystal.

Lattice parameters (Å, degrees): 9.029 9.029 10.540 90.00 90.00 155.59
Fractional coordinates of all 12 atoms:
1 Cs 0.226 0.774 0.750
2 Cs 0.774 0.226 0.250
3 Ge 0.500 0.500 0.000
4 Ge 0.500 0.500 0.500
5 Au 0.104 0.896 0.250
6 Au 0.896 0.104 0.750
7 Se 0.105 0.895 0.020
8 Se 0.105 0.895 0.480
9 Se 0.459 0.541 0.250
10 Se 0.541 0.459 0.750
11 Se 0.895 0.105 0.520
12 Se 0.895 0.105 0.980

Summary:
Raw total energy ... -3.532 eV per atom


3.
Density functional theory data (PBE) for a relaxed CsGeTeAuSe2 crystal.

Lattice parameters (Å, degrees): 9.220 9.220 11.024 90.00 90.00 156.31
Fractional coordinates of all 12 atoms:
1 Cs 0.234 0.766 0.750
2 Cs 0.766 0.234 0.250
3 Ge 0.500 0.500 0.000
4 Ge 0.500 0.500 0.500
5 Te 0.454 0.546 0.250
6 Te 0.546 0.454 0.750
7 Au 0.100 0.900 0.250
8 Au 0.900 0.100 0.750
9 Se 0.105 0.895 0.027
10 Se 0.105 0.895 0.473
11 Se 0.895 0.105 0.527
12 Se 0.895 0.105 0.973

Summary:
Raw total energy ... -3.474 eV per atom


4.
Density functional theory data (PBE) for a relaxed CsGeTe3Au crystal.

Lattice parameters (Å, degrees): 9.056 9.056 11.651 90.00 90.00 154.68
Fractional coordinates of all 12 atoms:
1 Cs 0.246 0.754 0.750
2 Cs 0.754 0.246 0.250
3 Ge 0.500 0.500 0.000
4 Ge 0.500 0.500 0.500
5 Te 0.118 0.882 0.031
6 Te 0.118 0.882 0.469
7 Te 0.451 0.549 0.250
8 Te 0.549 0.451 0.750
9 Te 0.882 0.118 0.531
10 Te 0.882 0.118 0.969
11 Au 0.065 0.935 0.250
12 Au 0.935 0.065 0.750

Summary:
Raw total energy ... -3.280 eV per atom


5.
Density functional theory data (PBE) for a relaxed CsH2Au crystal.

Lattice parameters (Å, degrees): 7.946 11.213 4.914 90.00 126.34 90.00
Fractional coordinates of all 16 atoms:
1 Cs 0.000 0.149 0.250
2 Cs 0.000 0.851 0.750
3 Cs 0.500 0.351 0.750
4 Cs 0.500 0.649 0.250
5 H 0.241 0.091 0.979
6 H 0.241 0.909 0.479
7 H 0.259 0.409 0.021
8 H 0.259 0.591 0.521
9 H 0.741 0.409 0.479
10 H 0.741 0.591 0.979
11 H 0.759 0.091 0.521
12 H 0.759 0.909 0.021
13 Au 0.000 0.414 0.750
14 Au 0.000 0.586 0.250
15 Au 0.500 0.086 0.250
16 Au 0.500 0.914 0.750

Summary:
Raw total energy ... -2.948 eV per atom


6.
Density functional theory data (PBE) for a relaxed CsH3Au crystal.

Lattice parameters (Å, degrees): 6.333 6.333 6.289 119.65 119.65 59.52
Fractional coordinates of all 10 atoms:
1 Cs 0.250 0.250 0.249
2 Cs 0.750 0.750 0.751
3 H 0.187 0.812 0.313
4 H 0.188 0.813 0.687
5 H 0.315 0.315 0.813
6 H 0.685 0.685 0.187
7 H 0.812 0.187 0.313
8 H 0.813 0.188 0.687
9 Au 0.000 0.000 0.500
10 Au 0.500 0.500 0.000

Summary:
Raw total energy ... -3.043 eV per atom